# 1
! GGA-PBE Na2Mg2SbO6, optimized geometry; values from VASP
! **Space group**: C2/m (12)
! **Volume**: 139.4 Å³/cell
! **DFT total energy**: -0.4029 Ry/atom
! **Uncorrected formation energy**: -180.73 kJ per mole of atoms
&SYSTEM
  ibrav = 0, nat = 11, ntyp = 4
/
ATOMIC_SPECIES
Na 22.99 Na.upf
Mg 24.30 Mg.upf
Sb 121.76 Sb.upf
O 16.00 O.upf
ATOMIC_POSITIONS crystal
Na 0.1711 0.8289 0.0000
Na 0.8289 0.1711 0.0000
Mg 0.3394 0.6606 0.5000
Mg 0.6606 0.3394 0.5000
Sb 0.0000 0.0000 0.5000
O 0.0601 0.3857 0.6932
O 0.2413 0.2413 0.3071
O 0.3857 0.0601 0.6932
O 0.6143 0.9399 0.3068
O 0.7587 0.7587 0.6929
O 0.9399 0.6143 0.3068
CELL_PARAMETERS angstrom
2.7162 -4.6593 0.0000
2.7162 4.6593 0.0000
-1.9996 0.0000 5.5059



# 2
! GGA-PBE HoTm2InPd4, optimized geometry; values from VASP
! **Space group**: R-3m (166)
! **Volume**: 161.1 Å³/cell
! **DFT total energy**: -0.4042 Ry/atom
&SYSTEM
  ibrav = 0, nat = 8, ntyp = 4
/
ATOMIC_SPECIES
Ho 164.93 Ho.upf
Tm 168.93 Tm.upf
In 114.82 In.upf
Pd 106.42 Pd.upf
ATOMIC_POSITIONS crystal
Ho 0.0000 0.0000 0.0000
Tm 0.2455 0.2455 0.2455
Tm 0.7545 0.7545 0.7545
In 0.5000 0.5000 0.5000
Pd 0.1226 0.1226 0.1226
Pd 0.3738 0.3738 0.3738
Pd 0.6262 0.6262 0.6262
Pd 0.8774 0.8774 0.8774
CELL_PARAMETERS angstrom
2.4238 1.3994 7.9158
-2.4238 1.3994 7.9158
0.0000 -2.7988 7.9158



# 3
! GGA-PBE NbAl2Pd, optimized geometry; values from VASP
! **Space group**: R-3m (166)
! **Volume**: 65.0 Å³/cell
! **DFT total energy**: -0.4478 Ry/atom
&SYSTEM
  ibrav = 0, nat = 4, ntyp = 3
/
ATOMIC_SPECIES
Nb 92.91 Nb.upf
Al 26.98 Al.upf
Pd 106.42 Pd.upf
ATOMIC_POSITIONS crystal
Nb 0.0000 0.0000 0.0000
Al 0.2446 0.2446 0.2446
Al 0.7554 0.7554 0.7554
Pd 0.5000 0.5000 0.5000
CELL_PARAMETERS angstrom
1.4623 0.8442 8.7784
-1.4623 0.8442 8.7784
0.0000 -1.6885 8.7784



# 4
! GGA-PBE Ca4In3Pb, optimized geometry; values from VASP
! **Space group**: Pmmm (47)
! **Volume**: 233.2 Å³/cell
! **DFT total energy**: -0.2183 Ry/atom
&SYSTEM
  ibrav = 0, nat = 8, ntyp = 3
/
ATOMIC_SPECIES
Ca 40.08 Ca.upf
In 114.82 In.upf
Pb 207.20 Pb.upf
ATOMIC_POSITIONS crystal
Ca 0.0000 0.0000 0.0000
Ca 0.0000 0.0000 0.5000
Ca 0.0000 0.5000 0.2465
Ca 0.0000 0.5000 0.7535
In 0.5000 0.0000 0.2451
In 0.5000 0.0000 0.7549
In 0.5000 0.5000 0.0000
Pb 0.5000 0.5000 0.5000
CELL_PARAMETERS angstrom
3.8178 0.0000 0.0000
0.0000 5.5224 0.0000
0.0000 0.0000 11.0620



| no. | M_tot (μB/cell) |
| --- | --- |
| 1 | 1.08 |
| 2 | 0.00 |
| 3 | 0.00 |
| 4 | 0.00 |